## w
Entry from Alexandria: an optimized crystal structure of Cs2Hg6Pt (PBE-GGA).

Structure (CIF):
```
data_Cs2Hg6Pt
_chemical_formula_sum 'Cs2 Hg6 Pt1'
_symmetry_space_group_name_H-M 'P 1'
_symmetry_Int_Tables_number 1
_cell_length_a 6.5424
_cell_length_b 7.3361
_cell_length_c 7.3361
_cell_angle_alpha 59.85
_cell_angle_beta 90.04
_cell_angle_gamma 90.04
loop_
_symmetry_equiv_pos_as_xyz
'x,y,z'
loop_
_atom_site_label
_atom_site_fract_x
_atom_site_fract_y
_atom_site_fract_z
_atom_site_occupancy
Hg1 0.6982 0.1605 0.1605 1
Hg2 0.3008 0.8370 0.3233 1
Hg3 0.6992 0.6767 0.1630 1
Hg4 0.6992 0.1630 0.6767 1
Hg5 0.3018 0.8395 0.8395 1
Hg6 0.3008 0.3233 0.8370 1
Cs1 0.8130 0.6677 0.6677 1
Cs2 0.1870 0.3323 0.3323 1
Pt1 0.0000 0.0000 0.0000 1
```

Properties
Total magnetic moment: 0.00 μB per cell

=====

## x
Entry from Alexandria: an optimized crystal structure of Cs2Hg6Pt (PBE-GGA).

Structure (CIF):
```
data_Cs2Hg6Pt
_chemical_formula_sum 'Cs2 Hg6 Pt1'
_symmetry_space_group_name_H-M 'P 1'
_symmetry_Int_Tables_number 1
_cell_length_a 7.4852
_cell_length_b 7.4852
_cell_length_c 7.4852
_cell_angle_alpha 60.00
_cell_angle_beta 60.00
_cell_angle_gamma 60.00
loop_
_symmetry_equiv_pos_as_xyz
'x,y,z'
loop_
_atom_site_label
_atom_site_fract_x
_atom_site_fract_y
_atom_site_fract_z
_atom_site_occupancy
Cs1 0.2500 0.2500 0.2500 1
Cs2 0.7500 0.7500 0.7500 1
Hg1 0.2683 0.7317 0.2683 1
Hg2 0.2683 0.2683 0.7317 1
Hg3 0.7317 0.7317 0.2683 1
Hg4 0.7317 0.2683 0.2683 1
Hg5 0.7317 0.2683 0.7317 1
Hg6 0.2683 0.7317 0.7317 1
Pt1 0.0000 0.0000 0.0000 1
```

Properties
Total magnetic moment: 0.00 μB per cell

=====

Most stable = w

=====

## w
Entry from Alexandria: an optimized crystal structure of CsRb2HgPt (PBE-GGA).

Structure (CIF):
```
data_CsRb2HgPt
_chemical_formula_sum 'Cs1 Rb2 Hg1 Pt1'
_symmetry_space_group_name_H-M 'P 1'
_symmetry_Int_Tables_number 1
_cell_length_a 6.4132
_cell_length_b 6.4132
_cell_length_c 6.6030
_cell_angle_alpha 90.00
_cell_angle_beta 90.00
_cell_angle_gamma 90.00
loop_
_symmetry_equiv_pos_as_xyz
'x,y,z'
loop_
_atom_site_label
_atom_site_fract_x
_atom_site_fract_y
_atom_site_fract_z
_atom_site_occupancy
Hg1 0.5000 0.5000 0.5000 1
Rb1 0.0000 0.5000 0.0000 1
Rb2 0.5000 0.0000 0.0000 1
Pt1 0.0000 0.0000 0.0000 1
Cs1 0.0000 0.0000 0.5000 1
```

Properties
Total magnetic moment: 0.75 μB per cell

=====

## x
Entry from Alexandria: an optimized crystal structure of CsRb2HgPt (PBE-GGA).

Structure (CIF):
```
data_CsRb2HgPt
_chemical_formula_sum 'Cs1 Rb2 Hg1 Pt1'
_symmetry_space_group_name_H-M 'P 1'
_symmetry_Int_Tables_number 1
_cell_length_a 6.4742
_cell_length_b 6.4742
_cell_length_c 5.5525
_cell_angle_alpha 90.00
_cell_angle_beta 90.00
_cell_angle_gamma 90.00
loop_
_symmetry_equiv_pos_as_xyz
'x,y,z'
loop_
_atom_site_label
_atom_site_fract_x
_atom_site_fract_y
_atom_site_fract_z
_atom_site_occupancy
Rb1 0.5000 0.0000 0.0000 1
Rb2 0.0000 0.5000 0.0000 1
Pt1 0.0000 0.0000 0.0000 1
Cs1 0.5000 0.5000 0.5000 1
Hg1 0.0000 0.0000 0.5000 1
```

Properties
Total magnetic moment: 0.00 μB per cell

=====

Most stable = x

=====

## w
Entry from Alexandria: an optimized crystal structure of Cs5RbHg2 (PBE-GGA).

Structure (CIF):
```
data_Cs5RbHg2
_chemical_formula_sum 'Cs5 Rb1 Hg2'
_symmetry_space_group_name_H-M 'P 1'
_symmetry_Int_Tables_number 1
_cell_length_a 5.8938
_cell_length_b 11.9567
_cell_length_c 11.9567
_cell_angle_alpha 50.51
_cell_angle_beta 75.73
_cell_angle_gamma 75.73
loop_
_symmetry_equiv_pos_as_xyz
'x,y,z'
loop_
_atom_site_label
_atom_site_fract_x
_atom_site_fract_y
_atom_site_fract_z
_atom_site_occupancy
Cs1 0.6591 0.0879 0.5940 1
Cs2 0.3409 0.4060 0.9121 1
Cs3 0.6591 0.5940 0.0879 1
Cs4 0.3409 0.9121 0.4060 1
Cs5 0.0000 0.5000 0.5000 1
Hg1 0.8091 0.6909 0.6909 1
Hg2 0.1909 0.3091 0.3091 1
Rb1 0.0000 0.0000 0.0000 1
```

Properties
Total magnetic moment: 0.00 μB per cell

=====

## x
Entry from Alexandria: an optimized crystal structure of Cs5RbHg2 (PBE-GGA).

Structure (CIF):
```
data_Cs5RbHg2
_chemical_formula_sum 'Cs10 Rb2 Hg4'
_symmetry_space_group_name_H-M 'P 1'
_symmetry_Int_Tables_number 1
_cell_length_a 7.4504
_cell_length_b 9.3754
_cell_length_c 19.6412
_cell_angle_alpha 90.00
_cell_angle_beta 90.00
_cell_angle_gamma 113.41
loop_
_symmetry_equiv_pos_as_xyz
'x,y,z'
loop_
_atom_site_label
_atom_site_fract_x
_atom_site_fract_y
_atom_site_fract_z
_atom_site_occupancy
Hg1 0.1485 0.2970 0.5800 1
Hg2 0.1485 0.2970 0.9200 1
Hg3 0.8515 0.7030 0.0800 1
Hg4 0.8515 0.7030 0.4200 1
Cs1 0.9314 0.8628 0.6184 1
Cs2 0.7385 0.4770 0.2500 1
Cs3 0.0686 0.1372 0.3816 1
Cs4 0.6551 0.3102 0.5226 1
Cs5 0.0686 0.1372 0.1184 1
Cs6 0.6551 0.3102 0.9774 1
Cs7 0.2615 0.5230 0.7500 1
Cs8 0.3449 0.6898 0.0226 1
Cs9 0.3449 0.6898 0.4774 1
Cs10 0.9314 0.8628 0.8816 1
Rb1 0.4225 0.8450 0.2500 1
Rb2 0.5775 0.1550 0.7500 1
```

Properties
Total magnetic moment: 0.00 μB per cell

=====

Most stable = w